Below is BaLaMn2O6 after structural relaxation, with properties calculated at the PBE+U level.

Energy above the most stable polymorph in this dataset (eV/f.u.): 0.00
V (Å³ per cell): 124.6
Calculated total energy (eV per atom): -7.4686

Lattice parameters (Å, degrees): 3.9649 3.9649 7.9233 90.00 90.00 90.00
Space group P4/mmm (No. 123)
Unique sites:
Ba1 0.0000 0.0000 0.0000 (multiplicity 1)
La1 0.0000 0.0000 0.5000 (multiplicity 1)
Mn1 0.5000 0.5000 0.2524 (multiplicity 2)
O1 0.0000 0.5000 0.2716 (multiplicity 4)
O2 0.5000 0.5000 0.0000 (multiplicity 1)
O3 0.5000 0.5000 0.5000 (multiplicity 1)